Record 1
## LiPuO2 (PBE-GGA)

Data for a relaxed structure of LiPuO2.

The space group is R3m (No. 160, hexagonal axes) and the conventional cell measures 3.2983, 3.2983 and 16.7487 Å, with angles of 90.00, 90.00 and 120.00 degrees. The distinct sites, in fractional coordinates, are Li at (0.0000, 0.0000, 0.0000), Pu at (0.0000, 0.0000, 0.1793), O at (0.0000, 0.0000, 0.4336) and O at (0.0000, 0.0000, 0.5990).

As for the crystal system: trigonal. The total energy comes out at -106.29 eV for the cell shown. Its density of states at the Fermi level is 1.162 states/eV per atom.



Record 2
## Li2Pu2O5 (PBE-GGA)

Data for a relaxed structure of Li2Pu2O5.

The space group is C2/m (No. 12) and the conventional cell measures 10.9008, 3.7395 and 5.8676 Å, with angles of 90.00, 115.97 and 90.00 degrees. The distinct sites, in fractional coordinates, are Li at (0.1711, 0.0000, 0.4428), Pu at (0.0957, 0.5000, 0.8394), O at (0.0000, 0.0000, 0.0000), O at (0.1116, 0.5000, 0.4512) and O at (0.2078, 0.0000, 0.8218).

As for the crystal system: monoclinic. The total energy comes out at -160.96 eV for the cell shown. Its density of states at the Fermi level is 1.201 states/eV per atom.



Record 3
## LiPuO4 (PBE-GGA)

Data for a relaxed structure of LiPuO4.

The space group is I4_1/amd (No. 141, origin choice 2) and the conventional cell measures 5.1386, 5.1386 and 10.0722 Å, with angles of 90.00, 90.00 and 90.00 degrees. The distinct sites, in fractional coordinates, are Li at (0.0000, 0.2500, 0.3750), Pu at (0.0000, 0.2500, 0.8750) and O at (0.2307, 0.0000, 0.0000).

For the energy above the lowest structure with this stoichiometry, the calculation gives 276 meV/atom. As for the crystal system: tetragonal. The total energy comes out at -191.97 eV for the cell shown. Its density of states at the Fermi level is 0.707 states/eV per atom.



Record 4
## Li7PuO6 (PBE-GGA)

Data for a relaxed structure of Li7PuO6.

The space group is R3 (No. 146, hexagonal axes) and the conventional cell measures 5.6949, 5.6949 and 15.4822 Å, with angles of 90.00, 90.00 and 120.00 degrees. The distinct sites, in fractional coordinates, are Li at (0.0000, 0.0000, 0.0000), Li at (0.0047, 0.3866, 0.4688), Li at (0.0129, 0.7260, 0.5658), Pu at (0.0000, 0.0000, 0.3518), O at (0.0435, 0.6766, 0.1035) and O at (0.0463, 0.3443, 0.9336).

As for the crystal system: trigonal. The total energy comes out at -261.49 eV for the cell shown. Its density of states at the Fermi level is 0.736 states/eV per atom.



Record 5
## Li3PuO3 (PBE-GGA)

Data for a relaxed structure of Li3PuO3.

The space group is R-3 (No. 148, hexagonal axes) and the conventional cell measures 5.9242, 5.9242 and 16.3673 Å, with angles of 90.00, 90.00 and 120.00 degrees. The distinct sites, in fractional coordinates, are Li at (0.0245, 0.2994, 0.1246), Pu at (0.0000, 0.0000, 0.3284) and O at (0.0062, 0.3726, 0.9120).

For the energy above the lowest structure with this stoichiometry, the calculation gives 0 meV/atom. As for the crystal system: trigonal. The total energy comes out at -300.71 eV for the cell shown. Its density of states at the Fermi level is 0.906 states/eV per atom.



Record 6
## Li5PuO6 (PBE-GGA)

Data for a relaxed structure of Li5PuO6.

The space group is C2/m (No. 12) and the conventional cell measures 5.2560, 9.0886 and 5.2145 Å, with angles of 90.00, 109.76 and 90.00 degrees. The distinct sites, in fractional coordinates, are Li at (0.0000, 0.0000, 0.0000), Li at (0.0000, 0.1669, 0.5000), Li at (0.0000, 0.3215, 0.0000), Pu at (0.0000, 0.5000, 0.5000), O at (0.2344, 0.5000, 0.2704) and O at (0.2364, 0.3429, 0.7415).

As for the crystal system: monoclinic. The total energy comes out at -160.78 eV for the cell shown.



Record 7
## Li8PuO6 (PBE-GGA)

Data for a relaxed structure of Li8PuO6.

The space group is P6_3cm (No. 185) and the conventional cell measures 5.8220, 5.8220 and 10.9848 Å, with angles of 90.00, 90.00 and 120.00 degrees. The distinct sites, in fractional coordinates, are Li at (0.0000, 0.3178, 0.0000), Li at (0.0000, 0.4244, 0.3575), Li at (0.3333, 0.6667, 0.1351), Pu at (0.0000, 0.0000, 0.2261), O at (0.0000, 0.0000, 0.4198), O at (0.0000, 0.3463, 0.1814) and O at (0.3333, 0.6667, 0.4452).

As for the crystal system: hexagonal. The total energy comes out at -178.21 eV for the cell shown. Its density of states at the Fermi level is 0.153 states/eV per atom.



Record 8
## LiPu2O7 (PBE-GGA)

Data for a relaxed structure of LiPu2O7.

The space group is P2/m (No. 10) and the conventional cell measures 5.5615, 4.1576 and 7.1558 Å, with angles of 90.00, 95.54 and 90.00 degrees. The distinct sites, in fractional coordinates, are Li at (0.0000, 0.0000, 0.0000), Pu at (0.3907, 0.5000, 0.7713), O at (0.0736, 0.5000, 0.6857), O at (0.2934, 0.5000, 0.0776), O at (0.3735, 0.0000, 0.7921) and O at (0.5000, 0.5000, 0.5000).

As for the crystal system: monoclinic. The total energy comes out at -86.97 eV for the cell shown. Its density of states at the Fermi level is 0.455 states/eV per atom.



Record 9
## LiPuO2 (PBE-GGA)

Data for a relaxed structure of LiPuO2.

The space group is P4/mmm (No. 123) and the conventional cell measures 2.9345, 2.9345 and 5.8286 Å, with angles of 90.00, 90.00 and 90.00 degrees. The distinct sites, in fractional coordinates, are Li at (0.0000, 0.0000, 0.0000), Pu at (0.0000, 0.0000, 0.5000) and O at (0.5000, 0.5000, 0.2678).

As for the crystal system: tetragonal. The total energy comes out at -34.07 eV for the cell shown. Its density of states at the Fermi level is 1.510 states/eV per atom.



Record 10
## Rb4LiPu3O12 (PBE-GGA)

Data for a relaxed structure of Rb4LiPu3O12.

The space group is Im-3m (No. 229) and the conventional cell measures 8.6539, 8.6539 and 8.6539 Å, with angles of 90.00, 90.00 and 90.00 degrees. The distinct sites, in fractional coordinates, are Rb at (0.2500, 0.2500, 0.2500), Li at (0.0000, 0.0000, 0.0000), Pu at (0.0000, 0.0000, 0.5000), O at (0.0000, 0.0000, 0.2815) and O at (0.0000, 0.2500, 0.5000).

As for the crystal system: cubic. The total energy comes out at -309.67 eV for the cell shown. Its density of states at the Fermi level is 0.397 states/eV per atom.



Record 11
## RbLi4Pu3O12 (PBE-GGA)

Data for a relaxed structure of RbLi4Pu3O12.

The space group is R32 (No. 155, hexagonal axes) and the conventional cell measures 11.4495, 11.4495 and 8.1138 Å, with angles of 90.00, 90.00 and 120.00 degrees. The distinct sites, in fractional coordinates, are Rb at (0.0000, 0.0000, 0.0000), Li at (0.0000, 0.0000, 0.5000), Li at (0.0000, 0.4341, 0.5000), Pu at (0.0000, 0.5626, 0.0000), O at (0.0000, 0.6059, 0.5000), O at (0.0000, 0.8325, 0.5000) and O at (0.0702, 0.2439, 0.1969).

As for the crystal system: trigonal. The total energy comes out at -469.52 eV for the cell shown. Its density of states at the Fermi level is 0.483 states/eV per atom.



Record 12
## Rb2Li2PuO4 (PBE-GGA)

Data for a relaxed structure of Rb2Li2PuO4.

The space group is C2/m (No. 12) and the conventional cell measures 12.6163, 3.5393 and 6.6773 Å, with angles of 90.00, 110.46 and 90.00 degrees. The distinct sites, in fractional coordinates, are Rb at (0.1417, 0.0000, 0.0693), Li at (0.1819, 0.5000, 0.4838), Pu at (0.0000, 0.0000, 0.5000), O at (0.0182, 0.5000, 0.2969) and O at (0.1880, 0.0000, 0.6260).

As for the crystal system: monoclinic. The total energy comes out at -117.23 eV for the cell shown. Its density of states at the Fermi level is 0.484 states/eV per atom.



Record 13
## Rb2LiPu2O7 (PBE-GGA)

Data for a relaxed structure of Rb2LiPu2O7.

The space group is I4/mmm (No. 139) and the conventional cell measures 4.2730, 4.2730 and 22.5839 Å, with angles of 90.00, 90.00 and 90.00 degrees. The distinct sites, in fractional coordinates, are Rb at (0.0000, 0.0000, 0.1895), Li at (0.0000, 0.0000, 0.0000), Pu at (0.0000, 0.0000, 0.4084), O at (0.0000, 0.0000, 0.3211), O at (0.0000, 0.0000, 0.5000) and O at (0.0000, 0.5000, 0.0875).

As for the crystal system: tetragonal. The total energy comes out at -190.23 eV for the cell shown. Its density of states at the Fermi level is 0.653 states/eV per atom.



Record 14
## Rb4LiPu3O8 (PBE-GGA)

Data for a relaxed structure of Rb4LiPu3O8.

The space group is R-3m (No. 166, hexagonal axes) and the conventional cell measures 7.0673, 7.0673 and 19.5422 Å, with angles of 90.00, 90.00 and 120.00 degrees. The distinct sites, in fractional coordinates, are Rb at (0.0000, 0.0000, 0.0000), Rb at (0.0000, 0.5000, 0.0000), Li at (0.0000, 0.0000, 0.5000), Pu at (0.0000, 0.5000, 0.5000), O at (0.0000, 0.0000, 0.2277) and O at (0.0247, 0.5124, 0.7758).

As for the crystal system: trigonal. The total energy comes out at -374.08 eV for the cell shown. Its density of states at the Fermi level is 0.864 states/eV per atom.



Record 15
## Rb3LiPu2O6 (PBE-GGA)

Data for a relaxed structure of Rb3LiPu2O6.

The space group is C2/m (No. 12) and the conventional cell measures 6.0416, 10.5267 and 6.7979 Å, with angles of 90.00, 106.87 and 90.00 degrees. The distinct sites, in fractional coordinates, are Rb at (0.0000, 0.0000, 0.0000), Rb at (0.0000, 0.3426, 0.0000), Li at (0.0000, 0.5000, 0.5000), Pu at (0.0000, 0.1668, 0.5000), O at (0.2004, 0.0000, 0.6732) and O at (0.2410, 0.3182, 0.6798).

As for the crystal system: monoclinic. The total energy comes out at -180.28 eV for the cell shown. Its density of states at the Fermi level is 0.733 states/eV per atom.



Record 16
## RbLi2Pu2O7 (PBE-GGA)

Data for a relaxed structure of RbLi2Pu2O7.

The space group is I4/mmm (No. 139) and the conventional cell measures 4.2703, 4.2703 and 18.0434 Å, with angles of 90.00, 90.00 and 90.00 degrees. The distinct sites, in fractional coordinates, are Rb at (0.0000, 0.0000, 0.0000), Li at (0.0000, 0.5000, 0.2500), Pu at (0.0000, 0.0000, 0.3811), O at (0.0000, 0.0000, 0.2718), O at (0.0000, 0.0000, 0.5000) and O at (0.0000, 0.5000, 0.1208).

As for the crystal system: tetragonal. The total energy comes out at -194.67 eV for the cell shown. Its density of states at the Fermi level is 0.714 states/eV per atom.



Record 17
## Li2PuReO8 (PBE-GGA)

Data for a relaxed structure of Li2PuReO8.

The space group is Cmmm (No. 65) and the conventional cell measures 6.6102, 6.9248 and 6.3658 Å, with angles of 90.00, 90.00 and 90.00 degrees. The distinct sites, in fractional coordinates, are Li at (0.0000, 0.0000, 0.2170), Pu at (0.0000, 0.5000, 0.5000), Re at (0.0000, 0.5000, 0.0000), O at (0.0000, 0.3157, 0.2305), O at (0.2238, 0.0000, 0.0000) and O at (0.2244, 0.0000, 0.5000).

As for the crystal system: orthorhombic. The total energy comes out at -186.30 eV for the cell shown. Its density of states at the Fermi level is 0.177 states/eV per atom.



Record 18
## Li2PuRhO5 (PBE-GGA)

Data for a relaxed structure of Li2PuRhO5.

The space group is P4/mmm (No. 123) and the conventional cell measures 4.0064, 4.0064 and 6.4829 Å, with angles of 90.00, 90.00 and 90.00 degrees. The distinct sites, in fractional coordinates, are Li at (0.0000, 0.5000, 0.0000), Pu at (0.0000, 0.0000, 0.5000), Rh at (0.5000, 0.5000, 0.5000), O at (0.0000, 0.5000, 0.3180) and O at (0.5000, 0.5000, 0.0000).

As for the crystal system: tetragonal. The total energy comes out at -62.58 eV for the cell shown. Its density of states at the Fermi level is 0.706 states/eV per atom.



Record 19
## Li2PuRuO8 (PBE-GGA)

Data for a relaxed structure of Li2PuRuO8.

The space group is P-3 (No. 147) and the conventional cell measures 4.2177, 4.2177 and 9.0763 Å, with angles of 90.00, 90.00 and 120.00 degrees. The distinct sites, in fractional coordinates, are Li at (0.3333, 0.6667, 0.2809), Pu at (0.0000, 0.0000, 0.0000), Ru at (0.0000, 0.0000, 0.5000), O at (0.0140, 0.6672, 0.8597) and O at (0.3333, 0.6667, 0.4929).

As for the crystal system: trigonal. The total energy comes out at -75.52 eV for the cell shown. Its density of states at the Fermi level is 0.816 states/eV per atom.